Record 1
Zr2ZnNi: optimized geometry, PBEsol.

For the density of states at the Fermi level, the calculation gives 3.889 states/eV/f.u. The calculation puts the energy relative to the elements at -0.30 eV per atom.

It has space group Pm (No. 6), with a = 3.252 Å, b = 4.094 Å, c = 5.378 Å, α = 90.00°, β = 107.33° and γ = 90.00°. The inequivalent atoms are Zr at (0.000, 0.000, 0.000), Zr at (0.297, 0.500, 0.597), Zn at (0.720, 0.000, 0.443) and Ni at (0.576, 0.500, 0.152).

Record 2
ZrZn2Ni2: optimized geometry, PBEsol.

For the density of states at the Fermi level, the calculation gives 3.006 states/eV/f.u. The calculation puts the energy relative to the elements at -0.28 eV per atom.

It has space group I4/mmm (No. 139), with a = 3.522 Å, b = 3.522 Å, c = 11.461 Å, α = 90.00°, β = 90.00° and γ = 90.00°. The inequivalent atoms are Zr at (0.000, 0.000, 0.000), Zn at (0.000, 0.500, 0.250) and Ni at (0.000, 0.000, 0.400).